The following is a DFT calculation (PBE) of an optimized crystal structure of Sc2AsBr.

Cell: 6.8568 6.8568 6.8568 Å, 90.00 90.00 90.00°
Last column: nearest neighbours and their distance in Å.
Space group Fm-3m (No. 225)
One atom of each set of equivalent atoms:
1 Sc 0.2500 0.2500 0.2500 [8 per cell]  4 As 2.97, 4 Br 2.97
2 As 0.0000 0.0000 0.0000 [4 per cell]  8 Sc 2.97
3 Br 0.0000 0.0000 0.5000 [4 per cell]  8 Sc 2.97

Calculated values
Total moment, μB per formula unit: 1.49
E_form (uncorrected), eV per formula unit: -3.660